Computed, not measured: crystalline CrSb2F8 at its relaxed geometry at the PBE with a Hubbard U level of DFT.

Structure (POSCAR):
```
CrSb2F8
1.0
4.7883 -3.6304 0.0000
4.7883 3.6304 0.0000
-1.5711 0.0000 4.9488
Cr Sb F
1 2 8
direct
0.0000 0.0000 0.0000
0.3334 0.3334 0.6989
0.6666 0.6666 0.3011
0.0633 0.6444 0.7624
0.1290 0.1290 0.7479
0.3556 0.9367 0.2376
0.3987 0.3987 0.1090
0.6013 0.6013 0.8910
0.6444 0.0633 0.7624
0.8710 0.8710 0.2521
0.9367 0.3556 0.2376
```

## Properties
Spin magnetization: 4.00 μB per formula unit
Distance to the lowest polymorph of the same formula: 0.010 eV per atom
E: -5.18 eV per atom
SG: C2/m